(1)
MgMo3S after structural relaxation. Source: Alexandria, functional PBE.

Calculated values
* formation energy from raw total energies: 0.39 eV per atom
* DOS(E_F): 0.947 states/eV/atom
* ρ: 6.444 Mg/m³

Unit cell a=4.460 b=4.460 c=4.460 alpha=90.00 beta=90.00 gamma=90.00
Positions (direct):
Mo 0.500 0.000 0.000
Mo 0.000 0.000 0.500
Mo 0.000 0.500 0.000
Mg 0.500 0.500 0.500
S 0.000 0.000 0.000

***

(2)
V2Pd3Rh2 after structural relaxation. Source: Alexandria, functional PBE.

Calculated values
* DOS(E_F): 0.957 states/eV/atom
* formation enthalpy at 0 K: 0.04 eV/atom
* ρ: 9.589 Mg/m³

Unit cell a=2.697 b=3.837 c=10.666 alpha=79.61 beta=90.00 gamma=90.00
Positions (direct):
V 0.500 0.425 0.150
V 0.500 0.575 0.850
Rh 0.000 0.876 0.248
Rh 0.000 0.124 0.752
Pd 0.000 0.707 0.587
Pd 0.000 0.000 0.000
Pd 0.000 0.293 0.413

***

(3)
K2BeIF after structural relaxation. Source: Alexandria, functional PBE.

Calculated values
* formation energy from raw total energies: -0.49 eV per atom
* DOS(E_F): 0.338 states/eV/atom
* ρ: 2.106 Mg/m³

Unit cell a=6.162 b=4.840 c=6.162 alpha=90.00 beta=90.00 gamma=90.00
Positions (direct):
K 0.000 0.000 0.500
K 0.500 0.000 0.000
Be 0.000 0.000 0.000
I 0.000 0.500 0.000
F 0.500 0.500 0.500

***

(4)
SrAg2Pb after structural relaxation. Source: Alexandria, functional PBE.

Calculated values
* DOS(E_F): 0.322 states/eV/atom
* formation enthalpy at 0 K: 0.01 eV/atom
* ρ: 7.906 Mg/m³

Unit cell a=6.216 b=6.216 c=3.450 alpha=75.89 beta=75.89 gamma=115.32
Positions (direct):
Ag 0.500 0.500 0.000
Ag 0.000 0.000 0.000
Sr 0.000 0.500 0.500
Pb 0.500 0.000 0.500

***

(5)
Cs2InAgS after structural relaxation. Source: Alexandria, functional PBE.

Calculated values
* formation energy from raw total energies: -0.04 eV per atom
* DOS(E_F): 0.272 states/eV/atom
* ρ: 3.218 Mg/m³

Unit cell a=7.286 b=5.060 c=7.286 alpha=90.00 beta=90.00 gamma=90.00
Positions (direct):
Ag 0.500 0.500 0.500
Cs 0.500 0.000 0.000
Cs 0.000 0.000 0.500
In 0.000 0.000 0.000
S 0.000 0.500 0.000

***

(6)
Nd2HoSn after structural relaxation. Source: Alexandria, functional PBE.

Calculated values
* DOS(E_F): 1.750 states/eV/atom
* formation enthalpy at 0 K: 0.00 eV/atom
* ρ: 7.414 Mg/m³

Unit cell a=3.512 b=3.512 c=12.166 alpha=81.70 beta=81.70 gamma=60.00
Last column: magnetic moment on the atom in μB.
Positions (direct):
Nd 0.907 0.907 0.279  0.01
Nd 0.093 0.093 0.721  0.01
Sn 0.500 0.500 0.500  0.00
Ho 0.000 0.000 0.000  0.05

***

(7)
Ca2AcCd after structural relaxation. Source: Alexandria, functional PBE.

Calculated values
* DOS(E_F): 1.279 states/eV/atom
* formation enthalpy at 0 K: -0.07 eV/atom
* ρ: 4.836 Mg/m³

Unit cell a=5.620 b=5.063 c=5.063 alpha=90.00 beta=90.00 gamma=90.00
Positions (direct):
Ca 0.000 0.000 0.500
Ca 0.000 0.500 0.000
Cd 0.500 0.500 0.500
Ac 0.500 0.000 0.000

***

(8)
YAg after structural relaxation. Source: Alexandria, functional PBE.

Calculated values
* DOS(E_F): 0.837 states/eV/atom
* formation enthalpy at 0 K: -0.12 eV/atom
* ρ: 6.166 Mg/m³

Unit cell a=5.967 b=5.967 c=5.954 alpha=90.00 beta=90.00 gamma=90.00
Positions (direct):
Y 0.706 0.706 0.500
Y 0.294 0.294 0.500
Y 0.794 0.206 0.000
Y 0.206 0.794 0.000
Ag 0.808 0.192 0.500
Ag 0.308 0.308 0.000
Ag 0.192 0.808 0.500
Ag 0.692 0.692 0.000

***

(9)
La2DyAl after structural relaxation. Source: Alexandria, functional PBE.

Calculated values
* DOS(E_F): 1.539 states/eV/atom
* formation enthalpy at 0 K: -0.13 eV/atom
* ρ: 6.227 Mg/m³

Unit cell a=3.734 b=3.734 c=8.938 alpha=90.00 beta=90.00 gamma=90.00
Positions (direct):
Dy 0.500 0.500 0.500
La 0.000 0.000 0.214
La 0.000 0.000 0.786
Al 0.500 0.500 0.000

***

(10)
KFeRe2 after structural relaxation. Source: Alexandria, functional PBE.

Calculated values
* DOS(E_F): 1.247 states/eV/atom
* formation enthalpy at 0 K: 1.50 eV/atom
* ρ: 11.832 Mg/m³

Unit cell a=4.527 b=4.527 c=4.527 alpha=60.00 beta=60.00 gamma=60.00
Last column: magnetic moment on the atom in μB.
Positions (direct):
Re 0.250 0.250 0.250  -0.24
Re 0.000 0.000 0.000  0.00
Fe 0.500 0.500 0.500  2.59
K 0.750 0.750 0.750  -0.01

***

(11)
BaNaPb after structural relaxation. Source: Alexandria, functional PBE.

Calculated values
* DOS(E_F): 0.634 states/eV/atom
* formation enthalpy at 0 K: -0.26 eV/atom
* ρ: 5.351 Mg/m³

Unit cell a=4.448 b=4.448 c=6.566 alpha=109.80 beta=109.80 gamma=90.00
Positions (direct):
Pb 0.265 0.265 0.530
Ba 0.942 0.942 0.885
Na 0.642 0.642 0.285

***

(12)
SmAl8Ni4 after structural relaxation. Source: Alexandria, functional PBE.

Calculated values
* DOS(E_F): 0.367 states/eV/atom
* formation enthalpy at 0 K: -0.59 eV/atom
* ρ: 5.232 Mg/m³

Unit cell a=5.119 b=6.619 c=6.619 alpha=81.40 beta=67.26 gamma=67.26
Positions (direct):
Al 0.276 0.224 0.224
Al 0.655 0.345 0.345
Al 0.345 0.655 0.655
Al 0.000 0.655 0.345
Al 0.000 0.345 0.655
Al 0.500 0.224 0.776
Al 0.724 0.776 0.776
Al 0.500 0.776 0.224
Sm 0.000 0.000 0.000
Ni 0.500 0.500 0.000
Ni 0.000 0.000 0.500
Ni 0.000 0.500 0.000
Ni 0.500 0.000 0.500

***

(13)
Zn3Fe5 after structural relaxation. Source: Alexandria, functional PBE.

Calculated values
* DOS(E_F): 0.579 states/eV/atom
* formation enthalpy at 0 K: 0.02 eV/atom
* ρ: 7.982 Mg/m³

Unit cell a=5.258 b=5.258 c=3.578 alpha=90.00 beta=90.00 gamma=89.17
Last column: magnetic moment on the atom in μB.
Positions (direct):
Zn 0.248 0.248 0.500  -0.08
Zn 0.752 0.752 0.500  -0.08
Zn 0.500 0.500 0.000  -0.06
Fe 0.500 0.000 0.000  2.40
Fe 0.243 0.757 0.500  2.42
Fe 0.000 0.500 0.000  2.40
Fe 0.757 0.243 0.500  2.42
Fe 0.000 0.000 0.000  2.32

***

(14)
NdSmDy2Bi4 after structural relaxation. Source: Alexandria, functional PBE.

Calculated values
* DOS(E_F): 0.154 states/eV/atom
* formation enthalpy at 0 K: -0.90 eV/atom
* ρ: 9.186 Mg/m³

Unit cell a=4.534 b=7.843 c=7.848 alpha=70.52 beta=90.00 gamma=90.00
Positions (direct):
Bi 0.000 0.242 0.254
Bi 0.000 0.758 0.746
Bi 0.500 0.243 0.751
Bi 0.500 0.757 0.249
Dy 0.500 0.000 0.500
Dy 0.000 0.000 0.000
Nd 0.500 0.500 0.000
Sm 0.000 0.500 0.500

***

(15)
CrIn4Te after structural relaxation. Source: Alexandria, functional PBE.

Calculated values
* formation energy from raw total energies: 0.41 eV per atom
* DOS(E_F): 0.516 states/eV/atom
* ρ: 6.382 Mg/m³

Unit cell a=6.172 b=6.172 c=6.172 alpha=60.00 beta=60.00 gamma=60.00
Last column: magnetic moment on the atom in μB.
Positions (direct):
In 0.375 0.876 0.375  -0.01
In 0.375 0.375 0.876  -0.01
In 0.876 0.375 0.375  -0.01
In 0.375 0.375 0.375  -0.01
Cr 0.000 0.000 0.000  4.11
Te 0.750 0.750 0.750  0.02

***

(16)
SrGdRh after structural relaxation. Source: Alexandria, functional PBE.

Calculated values
* DOS(E_F): 0.329 states/eV/atom
* formation enthalpy at 0 K: -0.36 eV/atom
* ρ: 5.802 Mg/m³

Unit cell a=6.749 b=4.127 c=4.127 alpha=120.00 beta=90.00 gamma=90.00
Last column: magnetic moment on the atom in μB.
Positions (direct):
Gd 0.224 0.333 0.667  7.02
Sr 0.748 0.667 0.333  -0.01
Rh 0.028 0.000 0.000  -0.03

***

(17)
SrPaCrS6 after structural relaxation. Source: Alexandria, functional PBE.

Calculated values
* formation energy from raw total energies: -0.99 eV per atom
* DOS(E_F): 0.568 states/eV/atom
* ρ: 4.279 Mg/m³

Unit cell a=5.753 b=6.623 c=6.623 alpha=120.00 beta=90.00 gamma=90.00
Last column: magnetic moment on the atom in μB.
Positions (direct):
Pa 0.000 0.333 0.667  0.15
S 0.743 0.692 0.736  -0.17
S 0.257 0.692 0.955  -0.17
S 0.257 0.264 0.308  -0.17
S 0.743 0.045 0.308  -0.17
S 0.257 0.045 0.736  -0.17
S 0.743 0.264 0.955  -0.17
Cr 0.500 0.000 0.000  2.20
Sr 0.500 0.667 0.333  -0.01

***

(18)
TlBi3N after structural relaxation. Source: Alexandria, functional PBE.

Calculated values
* formation energy from raw total energies: 0.49 eV per atom
* DOS(E_F): 0.900 states/eV/atom
* ρ: 10.783 Mg/m³

Unit cell a=5.068 b=5.068 c=5.068 alpha=90.00 beta=90.00 gamma=90.00
Positions (direct):
Tl 0.500 0.500 0.500
Bi 0.000 0.500 0.000
Bi 0.000 0.000 0.500
Bi 0.500 0.000 0.000
N 0.000 0.000 0.000

***

(19)
BiPb2Au3 after structural relaxation. Source: Alexandria, functional PBE.

Calculated values
* DOS(E_F): 0.430 states/eV/atom
* formation enthalpy at 0 K: -0.08 eV/atom
* ρ: 12.791 Mg/m³

Unit cell a=5.678 b=8.046 c=7.988 alpha=120.24 beta=90.00 gamma=90.00
Positions (direct):
Pb 0.750 0.165 0.665
Pb 0.750 0.500 0.335
Pb 0.250 0.500 0.665
Pb 0.250 0.835 0.335
Au 0.000 0.500 0.000
Au 0.500 0.835 0.669
Au 0.500 0.500 0.000
Au 0.000 0.165 0.331
Au 0.000 0.835 0.669
Au 0.500 0.165 0.331
Bi 0.750 0.829 0.000
Bi 0.250 0.171 0.000

***

(20)
Mn4InAg after structural relaxation. Source: Alexandria, functional PBE.

Calculated values
* DOS(E_F): 1.372 states/eV/atom
* formation enthalpy at 0 K: 0.39 eV/atom
* ρ: 8.553 Mg/m³

Unit cell a=4.953 b=4.953 c=4.953 alpha=60.00 beta=60.00 gamma=60.00
Last column: magnetic moment on the atom in μB.
Positions (direct):
In 0.000 0.000 0.000  -0.09
Mn 0.375 0.375 0.876  1.92
Mn 0.876 0.375 0.375  1.92
Mn 0.375 0.375 0.375  1.92
Mn 0.375 0.876 0.375  1.92
Ag 0.750 0.750 0.750  0.07